# 1
Here is a relaxed structure of NbCuNi5 from Alexandria. Energies are from PBE-GGA.

```
data_NbCuNi5
_chemical_formula_sum 'Nb1 Cu1 Ni5'
_cell_length_a 3.6752
_cell_length_b 3.6752
_cell_length_c 6.6307
_cell_angle_alpha 90.00
_cell_angle_beta 90.00
_cell_angle_gamma 90.00
_space_group_name_H-M_alt 'P 4/m m m'
_space_group_IT_number 123
_space_group_name_Hall '-P 4 2'
loop_
_atom_site_label
_atom_site_fract_x
_atom_site_fract_y
_atom_site_fract_z
_atom_site_occupancy
Nb1 0.0000 0.0000 0.0000 1
Cu1 0.5000 0.5000 0.5000 1
Ni1 0.0000 0.5000 0.2704 1
Ni2 0.5000 0.5000 0.0000 1
```

Values from the calculation:
energy of formation from the pure elements = 0.008 eV/atom
magnetization = 0.67 μB per cell

---

# 2
Here is a relaxed structure of RbTe2 from Alexandria. Energies are from PBE-GGA.

```
data_RbTe2
_chemical_formula_sum 'Rb4 Te8'
_cell_length_a 13.6198
_cell_length_b 5.3555
_cell_length_c 7.4846
_cell_angle_alpha 90.00
_cell_angle_beta 94.29
_cell_angle_gamma 90.00
_space_group_name_H-M_alt 'C 1 2/m 1'
_space_group_IT_number 12
loop_
_space_group_symop_operation_xyz
'x,y,z'
'-x,-y,-z'
'-x,y,-z'
'x,-y,z'
'x+1/2,y+1/2,z'
'-x+1/2,-y+1/2,-z'
'-x+1/2,y+1/2,-z'
'x+1/2,-y+1/2,z'
loop_
_atom_site_label
_atom_site_fract_x
_atom_site_fract_y
_atom_site_fract_z
_atom_site_occupancy
Rb1 0.1372 0.0000 0.2441 1
Te1 0.0700 0.5000 0.7261 1
Te2 0.1517 0.0000 0.7447 1
```

Values from the calculation:
E_form (uncorrected) = -0.555 eV/atom
magnetization = 0.00 μB per cell

---

# 3
Here is a relaxed structure of Cs2Cu3Cl8 from Alexandria. Energies are from PBE-GGA.

```
data_Cs2Cu3Cl8
_chemical_formula_sum 'Cs2 Cu3 Cl8'
_cell_length_a 4.7928
_cell_length_b 4.7928
_cell_length_c 14.8071
_cell_angle_alpha 90.00
_cell_angle_beta 90.00
_cell_angle_gamma 90.00
_space_group_name_H-M_alt 'P 4/m m m'
_space_group_IT_number 123
_space_group_name_Hall '-P 4 2'
loop_
_atom_site_label
_atom_site_fract_x
_atom_site_fract_y
_atom_site_fract_z
_atom_site_occupancy
Cs1 0.0000 0.0000 0.1823 1
Cu1 0.5000 0.5000 0.0000 1
Cu2 0.5000 0.5000 0.3385 1
Cl1 0.0000 0.5000 0.0000 1
Cl2 0.0000 0.5000 0.3567 1
Cl3 0.5000 0.5000 0.1671 1
```

Values from the calculation:
E_form (uncorrected) = -0.888 eV/atom
magnetization = 0.00 μB per cell

---

# 4
Here is a relaxed structure of Ba6Au3IBr2 from Alexandria. Energies are from PBE-GGA.

```
data_Ba6Au3IBr2
_chemical_formula_sum 'Ba12 Au6 I2 Br4'
_cell_length_a 21.9721
_cell_length_b 4.7050
_cell_length_c 10.1940
_cell_angle_alpha 90.00
_cell_angle_beta 109.56
_cell_angle_gamma 90.00
_space_group_name_H-M_alt 'C 1 2/m 1'
_space_group_IT_number 12
loop_
_space_group_symop_operation_xyz
'x,y,z'
'-x,-y,-z'
'-x,y,-z'
'x,-y,z'
'x+1/2,y+1/2,z'
'-x+1/2,-y+1/2,-z'
'-x+1/2,y+1/2,-z'
'x+1/2,-y+1/2,z'
loop_
_atom_site_label
_atom_site_fract_x
_atom_site_fract_y
_atom_site_fract_z
_atom_site_occupancy
Ba1 0.0074 0.0000 0.2261 1
Ba2 0.1604 0.5000 0.0977 1
Ba3 0.1759 0.5000 0.5649 1
Au1 0.0000 0.5000 0.0000 1
Au2 0.1660 0.0000 0.3298 1
I1 0.0000 0.5000 0.5000 1
Br1 0.1669 0.0000 0.8324 1
```

Values from the calculation:
E_form (uncorrected) = -1.153 eV/atom
magnetization = 0.00 μB per cell

---

# 5
Here is a relaxed structure of NaScPbCl6 from Alexandria. Energies are from PBE-GGA.

```
data_NaScPbCl6
_chemical_formula_sum 'Na2 Sc2 Pb2 Cl12'
_cell_length_a 7.0143
_cell_length_b 7.0143
_cell_length_c 12.1360
_cell_angle_alpha 90.00
_cell_angle_beta 90.00
_cell_angle_gamma 120.00
_space_group_name_H-M_alt 'P -3 1 c'
_space_group_IT_number 163
_space_group_name_Hall '-P 3 2c'
loop_
_atom_site_label
_atom_site_fract_x
_atom_site_fract_y
_atom_site_fract_z
_atom_site_occupancy
Na1 0.0000 0.0000 0.0000 1
Sc1 0.3333 0.6667 0.2500 1
Pb1 0.3333 0.6667 0.7500 1
Cl1 0.0432 0.3721 0.1302 1
```

Values from the calculation:
E_form (uncorrected) = -1.727 eV/atom
magnetization = 0.00 μB per cell

---

# 6
Here is a relaxed structure of Pr4TcI5 from Alexandria. Energies are from PBE-GGA.

```
data_Pr4TcI5
_chemical_formula_sum 'Pr8 Tc2 I10'
_cell_length_a 19.9414
_cell_length_b 4.2804
_cell_length_c 9.5780
_cell_angle_alpha 90.00
_cell_angle_beta 103.81
_cell_angle_gamma 90.00
_space_group_name_H-M_alt 'C 1 2/m 1'
_space_group_IT_number 12
loop_
_space_group_symop_operation_xyz
'x,y,z'
'-x,-y,-z'
'-x,y,-z'
'x,-y,z'
'x+1/2,y+1/2,z'
'-x+1/2,-y+1/2,-z'
'-x+1/2,y+1/2,-z'
'x+1/2,-y+1/2,z'
loop_
_atom_site_label
_atom_site_fract_x
_atom_site_fract_y
_atom_site_fract_z
_atom_site_occupancy
Pr1 0.0006 0.0000 0.2176 1
Pr2 0.1377 0.5000 0.0703 1
Tc1 0.0000 0.5000 0.0000 1
I1 0.0000 0.5000 0.5000 1
I2 0.1678 0.0000 0.3332 1
I3 0.1705 0.0000 0.8349 1
```

Values from the calculation:
E_form (uncorrected) = -0.998 eV/atom
magnetization = 0.00 μB per cell

---

# 7
Here is a relaxed structure of La2Y from Alexandria. Energies are from PBE-GGA.

```
data_La2Y
_chemical_formula_sum 'La4 Y2'
_cell_length_a 3.7119
_cell_length_b 3.7119
_cell_length_c 15.4428
_cell_angle_alpha 90.00
_cell_angle_beta 90.00
_cell_angle_gamma 90.00
_space_group_name_H-M_alt 'I 4/m m m'
_space_group_IT_number 139
_space_group_name_Hall '-I 4 2'
loop_
_atom_site_label
_atom_site_fract_x
_atom_site_fract_y
_atom_site_fract_z
_atom_site_occupancy
La1 0.0000 0.0000 0.1661 1
Y1 0.0000 0.0000 0.5000 1
```

Values from the calculation:
energy of formation from the pure elements = 0.027 eV/atom
magnetization = 0.01 μB per cell

---

# 8
Here is a relaxed structure of LaTeSe from Alexandria. Energies are from PBE-GGA.

```
data_LaTeSe
_chemical_formula_sum 'La1 Te1 Se1'
_cell_length_a 4.9854
_cell_length_b 4.9854
_cell_length_c 4.4051
_cell_angle_alpha 90.00
_cell_angle_beta 90.00
_cell_angle_gamma 120.00
_space_group_name_H-M_alt 'P -6 m 2'
_space_group_IT_number 187
_space_group_name_Hall 'P -6 2'
loop_
_atom_site_label
_atom_site_fract_x
_atom_site_fract_y
_atom_site_fract_z
_atom_site_occupancy
La1 0.0000 0.0000 0.0000 1
Te1 0.3333 0.6667 0.5000 1
Se1 0.6667 0.3333 0.0000 1
```

Values from the calculation:
E_form (uncorrected) = -1.225 eV/atom
magnetization = 0.00 μB per cell

---

# 9
Here is a relaxed structure of UTlRu2 from Alexandria. Energies are from PBE-GGA.

```
data_UTlRu2
_chemical_formula_sum 'U1 Tl1 Ru2'
_cell_length_a 3.4020
_cell_length_b 3.4020
_cell_length_c 6.5751
_cell_angle_alpha 90.00
_cell_angle_beta 90.00
_cell_angle_gamma 90.00
_space_group_name_H-M_alt 'P 4/m m m'
_space_group_IT_number 123
_space_group_name_Hall '-P 4 2'
loop_
_atom_site_label
_atom_site_fract_x
_atom_site_fract_y
_atom_site_fract_z
_atom_site_occupancy
U1 0.0000 0.0000 0.0000 1
Tl1 0.0000 0.0000 0.5000 1
Ru1 0.5000 0.5000 0.2178 1
```

Values from the calculation:
energy of formation from the pure elements = 0.048 eV/atom
magnetization = 0.53 μB per cell

---

# 10
Here is a relaxed structure of Pa11Ga9Tc4 from Alexandria. Energies are from PBE-GGA.

```
data_Pa11Ga9Tc4
_chemical_formula_sum 'Pa22 Ga18 Tc8'
_cell_length_a 13.1340
_cell_length_b 19.6424
_cell_length_c 3.9328
_cell_angle_alpha 90.00
_cell_angle_beta 90.00
_cell_angle_gamma 90.00
_space_group_name_H-M_alt 'C m m m'
_space_group_IT_number 65
_space_group_name_Hall '-C 2 2'
loop_
_atom_site_label
_atom_site_fract_x
_atom_site_fract_y
_atom_site_fract_z
_atom_site_occupancy
Pa1 0.0000 0.0000 0.0000 1
Pa2 0.0000 0.1600 0.0000 1
Pa3 0.0000 0.3689 0.0000 1
Pa4 0.1991 0.5000 0.0000 1
Pa5 0.2399 0.1765 0.0000 1
Ga1 0.0000 0.5000 0.5000 1
Ga2 0.1051 0.2610 0.5000 1
Ga3 0.1398 0.0750 0.5000 1
Tc1 0.1528 0.3995 0.5000 1
```

Values from the calculation:
energy of formation from the pure elements = -0.313 eV/atom
magnetization = 5.19 μB per cell

---

# 11
Here is a relaxed structure of Zr2SbTe from Alexandria. Energies are from PBE-GGA.

```
data_Zr2SbTe
_chemical_formula_sum 'Zr8 Sb4 Te4'
_cell_length_a 6.5231
_cell_length_b 6.5231
_cell_length_c 13.0519
_cell_angle_alpha 90.00
_cell_angle_beta 90.00
_cell_angle_gamma 90.00
_space_group_name_H-M_alt 'I -4 2 d'
_space_group_IT_number 122
_space_group_name_Hall 'I -4 2bw'
loop_
_atom_site_label
_atom_site_fract_x
_atom_site_fract_y
_atom_site_fract_z
_atom_site_occupancy
Zr1 0.2470 0.2500 0.1250 1
Sb1 0.0000 0.0000 0.0000 1
Te1 0.0000 0.0000 0.5000 1
```

Values from the calculation:
E_form (uncorrected) = 0.009 eV/atom
magnetization = 0.00 μB per cell

---

# 12
Here is a relaxed structure of LiPuH2F8 from Alexandria. Energies are from PBE-GGA.

```
data_LiPuH2F8
_chemical_formula_sum 'Li1 Pu1 H2 F8'
_cell_length_a 4.9016
_cell_length_b 4.9242
_cell_length_c 6.6777
_cell_angle_alpha 88.95
_cell_angle_beta 82.38
_cell_angle_gamma 78.76
_space_group_name_H-M_alt 'P -1'
_space_group_IT_number 2
loop_
_space_group_symop_operation_xyz
'x,y,z'
'-x,-y,-z'
loop_
_atom_site_label
_atom_site_fract_x
_atom_site_fract_y
_atom_site_fract_z
_atom_site_occupancy
Li1 0.0000 0.0000 0.0000 1
Pu1 0.0000 0.0000 0.5000 1
H1 0.4445 0.2411 0.8733 1
F1 0.1930 0.7950 0.7314 1
F2 0.2571 0.2748 0.4958 1
F3 0.2629 0.7935 0.2414 1
F4 0.2648 0.2548 0.9591 1
```

Values from the calculation:
magnetization = 3.00 μB per cell

---

no.,total DFT energy (no corrections) (eV per cell)
1,-43.02
2,-35.67
3,-40.32
4,-80.19
5,-75.97
6,-94.44
7,-32.48
8,-15.23
9,-32.01
10,-361.32
11,-97.30
12,-68.84